# KSiRu2Br, single point on PBEsol structure, DFT SCAN
data_KSiRu2Br
_chemical_formula_sum 'K1 Si1 Ru2 Br1'
_cell_length_a 4.631
_cell_length_b 4.631
_cell_length_c 5.341
_cell_angle_alpha 90.00
_cell_angle_beta 90.00
_cell_angle_gamma 90.00
_space_group_name_H-M_alt 'P 1'
_space_group_IT_number 1
loop_
_space_group_symop_operation_xyz
'x,y,z'
loop_
_atom_site_label
_atom_site_type_symbol
_atom_site_fract_x
_atom_site_fract_y
_atom_site_fract_z
Br1 Br 0.000 0.000 0.500
Ru1 Ru 0.500 0.000 0.000
Ru2 Ru 0.000 0.500 0.000
K1 K 0.000 0.000 0.000
Si1 Si 0.500 0.500 0.500
# **V**: 22.9 Å³ per atom
# **Formation energy without anion corrections**: 2526 meV per atom
# **E_tot**: -94.829 eV for the cell shown
# **Size of the total moment**: 3.4 μB per cell